Here is crystalline Dy8Y4Cd at its relaxed geometry from Alexandria. Energies are from PBE.

Cell: 5.0089 6.1444 16.1747 Å, 62.10 81.09 65.95°
With the nearest neighbours (Å) after each atom.
Atoms (fractional coordinates):
Dy: 0.0470 0.5591 0.3468  6 Dy 3.50-3.59, 6 Y 3.52-3.58
Dy: 0.4266 0.9575 0.1892  1 Cd 3.45, 7 Dy 3.47-3.58, 4 Y 3.53-3.57
Dy: 0.6048 0.0459 0.7445  1 Cd 3.45, 7 Dy 3.47-3.58, 4 Y 3.53-3.57
Dy: 0.9843 0.4444 0.5869  6 Dy 3.50-3.59, 6 Y 3.52-3.58
Dy: 0.7398 0.2493 0.2710  7 Dy 3.44-3.58, 5 Y 3.53-3.56
Dy: 0.2277 0.6528 0.8919  1 Cd 3.30, 5 Dy 3.35-3.47, 4 Y 3.50-3.55
Dy: 0.2915 0.7542 0.6627  7 Dy 3.44-3.58, 5 Y 3.53-3.56
Dy: 0.8039 0.3504 0.0419  1 Cd 3.29, 5 Dy 3.35-3.47, 4 Y 3.50-3.54
Y: 0.3605 0.8522 0.4268  9 Dy 3.53-3.58, 3 Y 3.55-3.56
Y: 0.9152 0.3493 0.8204  2 Cd 3.39, 10 Dy 3.50-3.56
Y: 0.1163 0.6540 0.1134  2 Cd 3.39, 10 Dy 3.50-3.56
Y: 0.6709 0.1513 0.5069  9 Dy 3.53-3.58, 3 Y 3.55-3.56
Cd: 0.5158 0.0015 0.9668  4 Dy 3.29-3.45, 4 Y 3.39

Results
VASP energy   -4.8940 eV/atom
Magnetic moment   0.0 Bohr magnetons per cell
N(E_F)   1.545 states/eV/atom
Formation enthalpy at 0 K   0.00 eV per atom
Space-group type   C2/m (12)